Ag4Br | PBE | optimized geometry

As for the raw formation energy: 136 meV per atom. The space-group type is I4/m, No. 87. The value obtained for the total energy is -2.48 eV per atom.

```
Ag4Br
1.0
-0.768 -3.495 -4.321
-0.882 0.523 5.516
-3.898 3.719 -1.564
Ag Br
4 1
Direct
0.394 0.181 0.575
0.181 0.606 0.786
0.606 0.819 0.425
0.819 0.394 0.214
0.000 0.000 0.000
```